1.
Computed, not measured: crystalline Ba2SrCa at its relaxed geometry at the PBE level of DFT.

abc: 10.454 10.454 7.856
angles: 90.00 90.00 90.00
Space group I-42d (No. 122)
One atom of each set of equivalent atoms:
Ba 0.244 0.750 0.125
Sr 0.000 0.000 0.500
Ca 0.000 0.000 0.000

The energy relative to the elements is 0.221 eV/atom. As for the density of states at the Fermi level: 7.22 states/eV per cell. Its calculated density is 3.113 Mg/m³. Its offset from the most stable computed form is 0.202 eV/atom.

***

2.
Computed, not measured: crystalline YFe2H7 at its relaxed geometry at the PBE level of DFT.

abc: 5.099 8.086 3.458
angles: 90.00 90.00 90.00
Space group Cmmm (No. 65)
One atom of each set of equivalent atoms:
Y 0.000 0.000 0.000
Fe 0.000 0.301 0.500
H 0.000 0.301 0.000
H 0.000 0.500 0.500
H 0.191 0.138 0.500

The calculation puts the total energy at -48.44 eV per formula unit. As for the density of states at the Fermi level: 6.25 states/eV per cell. Its calculated density is 4.836 Mg/m³.

***

3.
Computed, not measured: crystalline Na2CdH6 at its relaxed geometry at the PBE level of DFT.

abc: 7.206 7.206 7.206
angles: 90.00 90.00 90.00
Space group Fm-3m (No. 225)
One atom of each set of equivalent atoms:
Na 0.250 0.250 0.250
Cd 0.000 0.000 0.000
H 0.000 0.000 0.260

The calculation puts the total energy at -20.99 eV per formula unit. As for the density of states at the Fermi level: 7.39 states/eV per cell. Its calculated density is 2.918 Mg/m³.

***

4.
Computed, not measured: crystalline LaTa2Mn at its relaxed geometry at the PBE level of DFT.

abc: 3.123 3.116 8.033
angles: 90.00 90.10 90.00
Space group P2/m (No. 10)
One atom of each set of equivalent atoms:
La 0.000 0.000 0.000
Ta 0.496 0.500 0.682
Mn 0.000 0.000 0.500

The energy relative to the elements is 0.258 eV/atom. As for the density of states at the Fermi level: 4.60 states/eV per cell. Its calculated density is 11.806 Mg/m³. Its offset from the most stable computed form is 0.000 eV/atom.

***

5.
Computed, not measured: crystalline AgI at its relaxed geometry at the PBE level of DFT.

abc: 9.052 9.052 9.052
angles: 90.00 90.00 90.00
Space group I-43m (No. 217)
One atom of each set of equivalent atoms:
Ag 0.156 0.156 0.156
I 0.168 0.168 0.832

The calculation puts the total energy at -4.80 eV per formula unit. As for the density of states at the Fermi level: 0.00 states/eV per cell. Its calculated density is 4.204 Mg/m³.

***

6.
Computed, not measured: crystalline Pr3TlO6 at its relaxed geometry at the PBE level of DFT.

abc: 9.442 11.843 5.880
angles: 90.00 90.00 90.00
Space group Cmc2_1 (No. 36)
One atom of each set of equivalent atoms:
Pr 0.000 0.101 0.000
Pr 0.197 0.394 0.053
Tl 0.000 0.318 0.566
O 0.000 0.280 0.213
O 0.000 0.476 0.764
O 0.160 0.016 0.277
O 0.164 0.234 0.776

The calculation puts the total energy at -73.08 eV per formula unit. Its calculated density is 7.305 Mg/m³.

***

7.
Computed, not measured: crystalline Ti6Zn2C at its relaxed geometry at the PBE level of DFT.

abc: 3.535 3.535 13.847
angles: 90.00 90.00 90.00
Space group P4/mmm (No. 123)
One atom of each set of equivalent atoms:
Ti 0.000 0.000 0.000
Ti 0.000 0.000 0.500
Ti 0.000 0.500 0.141
Zn 0.000 0.000 0.306
C 0.500 0.500 0.000

The energy relative to the elements is 0.675 eV/atom. As for the density of states at the Fermi level: 9.15 states/eV per cell. Its calculated density is 4.126 Mg/m³. Its offset from the most stable computed form is 0.878 eV/atom.

***

8.
Computed, not measured: crystalline FePd7Pt2 at its relaxed geometry at the PBE level of DFT.

abc: 8.276 15.645 2.693
angles: 90.00 90.00 90.00
Space group Cmmm (No. 65)
One atom of each set of equivalent atoms:
Fe 0.000 0.000 0.000
Pd 0.000 0.186 0.000
Pd 0.000 0.500 0.500
Pd 0.218 0.089 0.500
Pt 0.000 0.331 0.500

The energy relative to the elements is 0.262 eV/atom. As for the density of states at the Fermi level: 27.73 states/eV per cell. Its calculated density is 11.345 Mg/m³.

***

9.
Computed, not measured: crystalline B4Au at its relaxed geometry at the PBE level of DFT.

abc: 4.152 4.152 4.152
angles: 90.00 90.00 90.00
Space group Pm-3m (No. 221)
One atom of each set of equivalent atoms:
B 0.000 0.000 0.000
B 0.000 0.500 0.500
Au 0.500 0.500 0.500

The energy relative to the elements is 2.500 eV/atom. As for the density of states at the Fermi level: 1.81 states/eV per cell. Its calculated density is 5.575 Mg/m³.

***

10.
Computed, not measured: crystalline Er2PaGa2Ru5 at its relaxed geometry at the PBE level of DFT.

abc: 9.971 9.971 3.533
angles: 90.00 90.00 90.00
Space group P4/mbm (No. 127)
One atom of each set of equivalent atoms:
Er 0.169 0.331 0.000
Pa 0.000 0.000 0.000
Ga 0.127 0.627 0.000
Ru 0.000 0.500 0.500
Ru 0.070 0.798 0.500

The energy relative to the elements is -0.521 eV/atom. As for the density of states at the Fermi level: 19.84 states/eV per cell. Its calculated density is 11.445 Mg/m³.

***

11.
Computed, not measured: crystalline Tb6CePm2Sm at its relaxed geometry at the PBE level of DFT.

abc: 11.464 6.757 9.004
angles: 90.00 107.30 90.00
Space group C2/m (No. 12)
One atom of each set of equivalent atoms:
Tb 0.129 0.000 0.418
Tb 0.175 0.259 0.803
Ce 0.000 0.000 0.000
Pm 0.088 0.500 0.169
Sm 0.000 0.500 0.500

The energy relative to the elements is 0.246 eV/atom. As for the density of states at the Fermi level: 41.55 states/eV per cell. Its calculated density is 7.651 Mg/m³.

***

12.
Computed, not measured: crystalline YBe4Ir at its relaxed geometry at the PBE level of DFT.

abc: 6.612 6.612 6.612
angles: 90.00 90.00 90.00
Space group F-43m (No. 216)
One atom of each set of equivalent atoms:
Y 0.000 0.000 0.000
Be 0.122 0.122 0.378
Ir 0.250 0.250 0.750

The energy relative to the elements is -0.372 eV/atom. Its calculated density is 7.287 Mg/m³.

***

13.
Computed, not measured: crystalline NiTe2As at its relaxed geometry at the PBE level of DFT.

abc: 3.729 5.166 9.096
angles: 90.00 90.00 90.00
Space group Cmmm (No. 65)
One atom of each set of equivalent atoms:
Ni 0.000 0.000 0.000
Te 0.000 0.500 0.199
As 0.000 0.000 0.500

The calculation puts the total energy at -15.21 eV per formula unit. As for the density of states at the Fermi level: 6.11 states/eV per cell. Its calculated density is 7.370 Mg/m³.

***

14.
Computed, not measured: crystalline YBi2Os at its relaxed geometry at the PBE level of DFT.

abc: 7.219 7.219 7.219
angles: 90.00 90.00 90.00
Space group Fm-3m (No. 225)
One atom of each set of equivalent atoms:
Y 0.000 0.000 0.000
Bi 0.250 0.250 0.250
Os 0.000 0.000 0.500

The energy relative to the elements is 0.258 eV/atom. As for the density of states at the Fermi level: 17.75 states/eV per cell. Its calculated density is 12.305 Mg/m³. Its offset from the most stable computed form is 0.000 eV/atom.

***

15.
Computed, not measured: crystalline CuSiN2 at its relaxed geometry at the PBE level of DFT.

abc: 3.0502 3.0502 16.3963
angles: 90.00 90.00 120.00
Space group R-3m (No. 166, hexagonal axes)
One atom of each set of equivalent atoms:
Cu 0.0000 0.0000 0.0000
Si 0.0000 0.0000 0.5000
N 0.0000 0.0000 0.3970

As for the density of states at the Fermi level: 4.94 states/eV per cell. Its calculated density is 4.512 Mg/m³. Its offset from the most stable computed form is 1.022 eV/atom.

***

16.
Computed, not measured: crystalline CaPrSiPd at its relaxed geometry at the PBE level of DFT.

abc: 7.222 7.222 7.222
angles: 90.00 90.00 90.00
Space group F-43m (No. 216)
One atom of each set of equivalent atoms:
Ca 0.000 0.000 0.000
Pr 0.000 0.000 0.500
Si 0.250 0.250 0.250
Pd 0.250 0.250 0.750

The calculation puts the total energy at -19.72 eV per formula unit. As for the density of states at the Fermi level: 9.07 states/eV per cell. Its calculated density is 5.563 Mg/m³.

***

17.
Computed, not measured: crystalline TlMoP2 at its relaxed geometry at the PBE level of DFT.

abc: 15.892 3.104 3.118
angles: 90.00 90.09 90.00
Space group Cm (No. 8)
One atom of each set of equivalent atoms:
Tl 0.000 0.000 0.000
Mo 0.259 0.500 0.991
P 0.175 0.000 0.490
P 0.341 0.000 0.491

The energy relative to the elements is -0.089 eV/atom. As for the density of states at the Fermi level: 4.47 states/eV per cell. Its calculated density is 7.822 Mg/m³. Its offset from the most stable computed form is 0.000 eV/atom.

***

18.
Computed, not measured: crystalline Sm3DyTl4S8 at its relaxed geometry at the PBE level of DFT.

abc: 8.2054 8.2054 22.5330
angles: 90.00 90.00 120.00
Space group R-3m (No. 166, hexagonal axes)
One atom of each set of equivalent atoms:
Sm 0.0000 0.5000 0.0000
Dy 0.0000 0.0000 0.0000
Tl 0.0000 0.0000 0.5000
Tl 0.0000 0.5000 0.5000
S 0.0000 0.0000 0.2658
S 0.0050 0.5025 0.7335

The calculation puts the total energy at -84.81 eV per formula unit. As for the density of states at the Fermi level: 0.00 states/eV per cell. Its calculated density is 6.399 Mg/m³.

***

19.
Computed, not measured: crystalline Zn2OsPb at its relaxed geometry at the PBE level of DFT.

abc: 4.114 4.114 4.045
angles: 90.00 90.00 90.00
Space group P4/mmm (No. 123)
One atom of each set of equivalent atoms:
Zn 0.000 0.500 0.000
Os 0.000 0.000 0.500
Pb 0.500 0.500 0.500

The energy relative to the elements is 0.615 eV/atom. As for the density of states at the Fermi level: 1.92 states/eV per cell. Its calculated density is 12.814 Mg/m³.

***

20.
Computed, not measured: crystalline PuNp2Ni9 at its relaxed geometry at the PBE level of DFT.

abc: 4.9095 4.9095 16.2255
angles: 90.00 90.00 120.00
Space group P6_3/mmc (No. 194)
One atom of each set of equivalent atoms:
Pu 0.3333 0.6667 0.2500
Np 0.3333 0.6667 0.0351
Ni 0.0000 0.0000 0.0000
Ni 0.0000 0.0000 0.2500
Ni 0.1670 0.3340 0.6260
Ni 0.3333 0.6667 0.7500

The energy relative to the elements is -0.179 eV/atom. As for the density of states at the Fermi level: 61.72 states/eV per cell. Its calculated density is 12.220 Mg/m³.

***

21.
Computed, not measured: crystalline InFeI2N at its relaxed geometry at the PBE level of DFT.

abc: 5.638 5.638 3.587
angles: 90.00 90.00 90.00
Space group P4/mmm (No. 123)
One atom of each set of equivalent atoms:
In 0.000 0.000 0.000
Fe 0.500 0.500 0.500
I 0.000 0.500 0.500
N 0.500 0.500 0.000

As for the density of states at the Fermi level: 3.38 states/eV per cell. Its calculated density is 6.386 Mg/m³. Its offset from the most stable computed form is 0.000 eV/atom.

***

22.
Computed, not measured: crystalline Rb2POsF6 at its relaxed geometry at the PBE level of DFT.

abc: 5.797 5.797 10.921
angles: 90.00 90.00 90.00
Space group I4/mmm (No. 139)
One atom of each set of equivalent atoms:
Rb 0.000 0.500 0.250
P 0.000 0.000 0.000
Os 0.000 0.000 0.500
F 0.000 0.000 0.312
F 0.246 0.246 0.000

The calculation puts the total energy at -45.99 eV per formula unit. As for the density of states at the Fermi level: 1.87 states/eV per cell. Its calculated density is 4.580 Mg/m³.

***

23.
Computed, not measured: crystalline Pm5Sn3Ge at its relaxed geometry at the PBE level of DFT.

abc: 9.5234 9.5234 6.6229
angles: 90.00 90.00 120.00
Space group P6_3/mcm (No. 193)
One atom of each set of equivalent atoms:
Pm 0.0000 0.2554 0.2500
Pm 0.3333 0.6667 0.0000
Sn 0.0000 0.3890 0.7500
Ge 0.0000 0.0000 0.0000

The energy relative to the elements is -0.784 eV/atom. As for the density of states at the Fermi level: 14.00 states/eV per cell. Its calculated density is 7.366 Mg/m³.